Here is an optimized crystal structure of MgMn2Ag from Alexandria. Energies are from PBE.

Lattice parameters (Å, degrees): 7.426 7.426 5.391 90.00 90.00 90.00
Space group I-42d (No. 122)
Asymmetric unit:
Mg 0.000 0.000 0.000 x4
Mn 0.231 0.250 0.625 x8
Ag 0.000 0.000 0.500 x4

Properties
For the energy of formation, the calculation gives 0.612 eV per atom. The density of states at the Fermi level comes out at 3.98 states/eV/f.u.

***

Here is an optimized crystal structure of KAg5 from Alexandria. Energies are from PBE.

Lattice parameters (Å, degrees): 3.495 3.495 10.892 90.00 90.00 90.00
Space group P4/mmm (No. 123)
Asymmetric unit:
K 0.000 0.000 0.000 x1
Ag 0.000 0.000 0.360 x2
Ag 0.500 0.500 0.230 x2
Ag 0.500 0.500 0.500 x1

Properties
For the energy of formation, the calculation gives 0.114 eV per atom. The density of states at the Fermi level comes out at 1.30 states/eV/f.u.

***

Here is an optimized crystal structure of BaCuRh2 from Alexandria. Energies are from PBE.

Lattice parameters (Å, degrees): 5.851 9.651 3.089 90.00 118.78 90.00
Space group C2/m (No. 12)
Asymmetric unit:
Ba 0.000 0.000 0.000 x2
Cu 0.000 0.500 0.000 x2
Rh 0.250 0.250 0.500 x4

Properties
For the energy of formation, the calculation gives 0.478 eV per atom. The density of states at the Fermi level comes out at 4.93 states/eV/f.u.